Density functional theory data (PBE) for a relaxed structure of CrIr8Ru3. Values from VASP.

Geometry as Quantum ESPRESSO input:
```
&SYSTEM
  ibrav = 0, nat = 12, ntyp = 3
/
ATOMIC_SPECIES
Cr 52.00 Cr.upf
Ir 192.22 Ir.upf
Ru 101.07 Ru.upf
CELL_PARAMETERS angstrom
-2.912 2.912 5.889
2.912 -2.912 5.889
2.912 2.912 -5.889
ATOMIC_POSITIONS crystal
Cr 0.000 0.000 0.000
Ir 0.121 0.121 0.484
Ir 0.121 0.637 0.000
Ir 0.363 0.363 0.484
Ir 0.363 0.879 0.000
Ir 0.637 0.121 0.000
Ir 0.637 0.637 0.516
Ir 0.879 0.363 0.000
Ir 0.879 0.879 0.516
Ru 0.250 0.750 0.500
Ru 0.500 0.500 0.000
Ru 0.750 0.250 0.500
```

- space group = I4/mmm, No. 139
- formation energy from the elements (eV per atom) = 0.54

=====

Density functional theory data (PBE) for a relaxed structure of CrIrRu2. Values from VASP.

Geometry as Quantum ESPRESSO input:
```
&SYSTEM
  ibrav = 0, nat = 4, ntyp = 3
/
ATOMIC_SPECIES
Cr 52.00 Cr.upf
Ir 192.22 Ir.upf
Ru 101.07 Ru.upf
CELL_PARAMETERS angstrom
-1.896 1.896 3.795
1.896 -1.896 3.795
1.896 1.896 -3.795
ATOMIC_POSITIONS crystal
Cr 0.000 0.000 0.000
Ir 0.500 0.500 0.000
Ru 0.250 0.750 0.500
Ru 0.750 0.250 0.500
```

- space group = I4/mmm, No. 139
- formation energy from the elements (eV per atom) = -0.02
- polymorph energy (0 for the lowest one) (eV per formula unit) = 0.21

=====

Density functional theory data (PBE) for a relaxed structure of CrIrRu2. Values from VASP.

Geometry as Quantum ESPRESSO input:
```
&SYSTEM
  ibrav = 0, nat = 16, ntyp = 3
/
ATOMIC_SPECIES
Cr 52.00 Cr.upf
Ir 192.22 Ir.upf
Ru 101.07 Ru.upf
CELL_PARAMETERS angstrom
4.690 0.000 0.000
0.000 4.269 0.000
0.000 0.000 10.814
ATOMIC_POSITIONS crystal
Cr 0.078 0.250 0.189
Cr 0.422 0.750 0.689
Cr 0.578 0.250 0.311
Cr 0.922 0.750 0.811
Ir 0.083 0.250 0.432
Ir 0.417 0.750 0.932
Ir 0.583 0.250 0.068
Ir 0.917 0.750 0.568
Ru 0.084 0.250 0.937
Ru 0.090 0.250 0.691
Ru 0.410 0.750 0.191
Ru 0.416 0.750 0.437
Ru 0.584 0.250 0.563
Ru 0.590 0.250 0.809
Ru 0.910 0.750 0.309
Ru 0.916 0.750 0.063
```

- space group = Pnma, No. 62
- formation energy from the elements (eV per atom) = -0.07
- polymorph energy (0 for the lowest one) (eV per formula unit) = 0.00

=====

Density functional theory data (PBE) for a relaxed structure of CrIr12Ru3. Values from VASP.

Geometry as Quantum ESPRESSO input:
```
&SYSTEM
  ibrav = 0, nat = 16, ntyp = 3
/
ATOMIC_SPECIES
Cr 52.00 Cr.upf
Ir 192.22 Ir.upf
Ru 101.07 Ru.upf
CELL_PARAMETERS angstrom
3.851 0.000 0.000
0.000 3.851 0.000
0.000 0.000 15.401
ATOMIC_POSITIONS crystal
Cr 0.000 0.000 0.000
Ir 0.000 0.500 0.123
Ir 0.000 0.500 0.374
Ir 0.000 0.500 0.626
Ir 0.000 0.500 0.877
Ir 0.500 0.000 0.123
Ir 0.500 0.000 0.374
Ir 0.500 0.000 0.626
Ir 0.500 0.000 0.877
Ir 0.500 0.500 0.000
Ir 0.500 0.500 0.249
Ir 0.500 0.500 0.500
Ir 0.500 0.500 0.751
Ru 0.000 0.000 0.249
Ru 0.000 0.000 0.500
Ru 0.000 0.000 0.751
```

- space group = P4/mmm, No. 123
- formation energy from the elements (eV per atom) = -0.07

=====

Density functional theory data (PBE) for a relaxed structure of Cr2IrRu. Values from VASP.

Geometry as Quantum ESPRESSO input:
```
&SYSTEM
  ibrav = 0, nat = 4, ntyp = 3
/
ATOMIC_SPECIES
Cr 52.00 Cr.upf
Ir 192.22 Ir.upf
Ru 101.07 Ru.upf
CELL_PARAMETERS angstrom
1.422 -2.222 0.000
1.422 2.222 0.000
0.000 0.000 8.411
ATOMIC_POSITIONS crystal
Cr 0.000 0.000 0.000
Cr 0.500 0.500 0.219
Ir 0.000 0.000 0.472
Ru 0.500 0.500 0.754
```

- space group = Cmm2, No. 35
- formation energy from the elements (eV per atom) = 0.24

=====

Density functional theory data (PBE) for a relaxed structure of Cr2Ir2Ru. Values from VASP.

Geometry as Quantum ESPRESSO input:
```
&SYSTEM
  ibrav = 0, nat = 10, ntyp = 3
/
ATOMIC_SPECIES
Cr 52.00 Cr.upf
Ir 192.22 Ir.upf
Ru 101.07 Ru.upf
CELL_PARAMETERS angstrom
7.124 0.000 0.000
0.000 7.124 0.000
0.000 0.000 2.703
ATOMIC_POSITIONS crystal
Cr 0.118 0.382 0.000
Cr 0.382 0.882 0.000
Cr 0.618 0.118 0.000
Cr 0.882 0.618 0.000
Ir 0.176 0.676 0.500
Ir 0.324 0.176 0.500
Ir 0.676 0.824 0.500
Ir 0.824 0.324 0.500
Ru 0.000 0.000 0.000
Ru 0.500 0.500 0.000
```

- space group = P4/mbm, No. 127
- formation energy from the elements (eV per atom) = 0.07
- polymorph energy (0 for the lowest one) (eV per formula unit) = 0.12